This record from Alexandria describes a geometry-optimized NiBi2BF structure. The functional is PBE with a Hubbard U.

Calculated values
Its total moment is 0.0 μB per formula unit. As for the energy: -3.475 eV per atom.

POSCAR file:
```
NiBi2BF
1.0
-2.081 4.087 -1.964
-1.969 0.536 3.202
3.724 2.773 1.826
Ni B Bi F
1 1 2 1
direct
0.000 0.500 0.000 Ni
0.000 0.000 0.000 B
0.000 0.000 0.500 Bi
0.500 0.000 0.000 Bi
0.500 0.500 0.500 F
```